1.
## LaSmY2Se6 (PBE-GGA)

Data for crystalline LaSmY2Se6 at its relaxed geometry.

## Properties
**Energy relative to the elements, uncorrected**: -1887.8 meV/atom
**SG**: No. 146

The structure in POSCAR format:
```
LaSmY2Se6
1.0
3.687 2.129 6.515
-3.687 2.129 6.515
0.000 -4.257 6.515
La Sm Y Se
1 1 2 6
direct
0.000 0.000 0.000
0.495 0.495 0.495
0.295 0.295 0.295
0.797 0.797 0.797
0.083 0.675 0.419
0.190 0.583 0.905
0.419 0.083 0.675
0.583 0.905 0.190
0.675 0.419 0.083
0.905 0.190 0.583
```


2.
## NaAcGaCu (PBE-GGA)

Data for crystalline NaAcGaCu at its relaxed geometry.

## Properties
**Energy relative to the elements**: -59 meV per atom
**SG**: No. 216

The structure in POSCAR format:
```
NaAcGaCu
1.0
7.413 0.000 0.000
0.000 7.413 0.000
0.000 0.000 7.413
Na Ac Ga Cu
4 4 4 4
direct
0.000 0.000 0.000
0.000 0.500 0.500
0.500 0.000 0.500
0.500 0.500 0.000
0.000 0.000 0.500
0.000 0.500 0.000
0.500 0.000 0.000
0.500 0.500 0.500
0.250 0.250 0.750
0.250 0.750 0.250
0.750 0.250 0.250
0.750 0.750 0.750
0.250 0.250 0.250
0.250 0.750 0.750
0.750 0.250 0.750
0.750 0.750 0.250
```


3.
## Sc2SiBr (PBE-GGA)

Data for crystalline Sc2SiBr at its relaxed geometry.

## Properties
**Energy relative to the elements, uncorrected**: -649.7 meV/atom
**Energy above the lowest structure with this stoichiometry**: 252 meV/atom
**SG**: No. 65

The structure in POSCAR format:
```
Sc2SiBr
1.0
4.253 0.000 0.000
0.000 5.127 0.000
0.000 0.000 7.573
Sc Si Br
4 2 2
direct
0.000 0.000 0.216
0.000 0.000 0.784
0.500 0.500 0.216
0.500 0.500 0.784
0.000 0.500 0.000
0.500 0.000 0.000
0.000 0.500 0.500
0.500 0.000 0.500
```


4.
## ZnFe2Pt (PBE-GGA)

Data for crystalline ZnFe2Pt at its relaxed geometry.

## Properties
**Energy relative to the elements**: 275 meV per atom
**SG**: No. 122

The structure in POSCAR format:
```
ZnFe2Pt
1.0
6.918 0.000 0.000
0.000 6.918 0.000
0.000 0.000 5.006
Zn Fe Pt
4 8 4
direct
0.000 0.000 0.000
0.000 0.500 0.250
0.500 0.000 0.750
0.500 0.500 0.500
0.245 0.750 0.625
0.250 0.245 0.375
0.250 0.255 0.875
0.255 0.750 0.125
0.745 0.250 0.125
0.750 0.745 0.875
0.750 0.755 0.375
0.755 0.250 0.625
0.000 0.000 0.500
0.000 0.500 0.750
0.500 0.000 0.250
0.500 0.500 0.000
```


> Number 2 is which compound?

NaAcGaCu